# 1
Material: KNbCr2
Method: DFT, PBE
State: relaxed

Cell: 4.8352 4.8352 4.8352 Å, 60.00 60.00 60.00°
With the nearest neighbours (Å) after each atom.
Element x y z (fractional)
Cr (0.2500, 0.2500, 0.2500)  4 Nb 2.96, 4 K 2.96
Cr (0.7500, 0.7500, 0.7500)  4 Nb 2.96, 4 K 2.96
Nb (0.5000, 0.5000, 0.5000)  8 Cr 2.96
K (0.0000, 0.0000, 0.0000)  8 Cr 2.96

Output
Its distance to the lowest polymorph of the same formula is 0 meV/atom. The calculation puts the energy of formation from the pure elements at 1.41 eV/atom. For the density of states at the Fermi level, the calculation gives 1.209 states/eV/atom.



# 2
Material: Mg2In5Pb12
Method: DFT, PBE
State: relaxed

Cell: 5.8059 10.6567 10.6567 Å, 62.63 79.60 79.60°
With the nearest neighbours (Å) after each atom.
Element x y z (fractional)
Mg (0.0000, 0.2460, 0.7540)  6 Pb 3.08-3.27
Mg (0.0000, 0.7540, 0.2460)  6 Pb 3.08-3.27
In (0.3868, 0.1948, 0.1948)  8 Pb 3.36-3.69, 3 In 3.46-3.47
In (0.8168, 0.3013, 0.3013)  8 Pb 3.26-3.63, 2 In 3.46-3.47
In (0.5000, 0.0000, 0.0000)  8 Pb 3.29-3.48, 2 In 3.47
In (0.1832, 0.6987, 0.6987)  8 Pb 3.26-3.63, 2 In 3.46-3.47
In (0.6132, 0.8052, 0.8052)  8 Pb 3.36-3.69, 3 In 3.46-3.47
Pb (0.0452, 0.9026, 0.9026)  2 Mg 3.23, 4 In 3.29-3.48, 3 Pb 3.38-3.48
Pb (0.2067, 0.5487, 0.0612)  6 Pb 3.32-3.57, 4 In 3.39-3.69, 1 Mg 3.50
Pb (0.2067, 0.0612, 0.5487)  6 Pb 3.32-3.57, 4 In 3.39-3.69, 1 Mg 3.50
Pb (0.6151, 0.6377, 0.1778)  1 Mg 3.08, 2 In 3.26-3.43, 3 Pb 3.32-3.42
Pb (0.6151, 0.1778, 0.6377)  1 Mg 3.08, 2 In 3.26-3.43, 3 Pb 3.32-3.42
Pb (0.2142, 0.4226, 0.4226)  2 Mg 3.27, 5 Pb 3.34-3.45, 1 In 3.52
Pb (0.7858, 0.5774, 0.5774)  2 Mg 3.27, 5 Pb 3.34-3.45, 1 In 3.52
Pb (0.3849, 0.3623, 0.8222)  1 Mg 3.08, 2 In 3.26-3.43, 3 Pb 3.32-3.42
Pb (0.3849, 0.8222, 0.3623)  1 Mg 3.08, 2 In 3.26-3.43, 3 Pb 3.32-3.42
Pb (0.7933, 0.4513, 0.9388)  6 Pb 3.32-3.57, 4 In 3.39-3.69, 1 Mg 3.50
Pb (0.7933, 0.9388, 0.4513)  6 Pb 3.32-3.57, 4 In 3.39-3.69, 1 Mg 3.50
Pb (0.9548, 0.0974, 0.0974)  2 Mg 3.23, 4 In 3.29-3.48, 3 Pb 3.38-3.48

Output
The calculation puts the energy of formation from the pure elements at 0.04 eV/atom. For the density of states at the Fermi level, the calculation gives 0.433 states/eV/atom.



# 3
Material: K2ZrW
Method: DFT, PBE
State: relaxed

Cell: 7.1197 7.1197 2.8602 Å, 90.00 90.00 132.49°
With the nearest neighbours (Å) after each atom.
Element x y z (fractional)
K (0.0000, 0.0000, 0.0000)  4 K 2.86-2.87
K (0.5000, 0.5000, 0.0000)  4 K 2.86-2.87
W (0.5000, 0.0000, 0.5000)  2 W 2.86, 2 Zr 2.87
Zr (0.0000, 0.5000, 0.5000)  2 Zr 2.86, 2 W 2.87

Output
Its distance to the lowest polymorph of the same formula is 610 meV/atom. The calculation puts the energy of formation from the pure elements at 1.45 eV/atom. For the density of states at the Fermi level, the calculation gives 1.158 states/eV/atom.



Question: Number 3 is which compound?
Answer: K2ZrW



Question: Which of these has the lowest energy of formation from the pure elements?
Answer: Mg2In5Pb12